No. 1
A plane-wave DFT calculation with GGA-PBE was carried out for a relaxed K2ZrBe crystal.

Lattice parameters (Å, degrees): 21.3768 3.2270 4.1979 90.00 101.11 90.00
With the nearest neighbours (Å) after each atom.
Space group C2/m (No. 12)
Asymmetric unit:
K 0.1485 0.0000 0.1452 (multiplicity 4)  2 K 3.23, 2 Be 3.51
Zr 0.0000 0.0000 0.5000 (multiplicity 2)  4 Be 2.65
Be 0.0000 0.5000 0.0000 (multiplicity 2)  4 Zr 2.65

No. 2
A plane-wave DFT calculation with GGA-PBE was carried out for a relaxed KZr2Be crystal.

Lattice parameters (Å, degrees): 6.1722 11.3029 3.0035 90.00 116.46 90.00
With the nearest neighbours (Å) after each atom.
Space group C2/m (No. 12)
Asymmetric unit:
K 0.0000 0.0000 0.0000 (multiplicity 2)  2 K 3.00, 4 Be 3.09-3.21, 4 Zr 3.25
Zr 0.2500 0.2500 0.5000 (multiplicity 4)  6 Zr 3.00-3.21, 2 K 3.25, 2 Be 3.25
Be 0.0000 0.5000 0.0000 (multiplicity 2)  2 Be 3.00, 4 K 3.09-3.21, 4 Zr 3.25

no.,electronic total energy (eV per atom),energy relative to the elements (eV/f.u.)
1,-3.011,2.4
2,-4.496,3.9